(1)
# Rb2BaInCl6

Crystalline Rb2BaInCl6 at its relaxed geometry (PBE, Alexandria).

```
Rb2BaInCl6
1.0
-4.068 4.068 5.748
4.068 -4.068 5.748
4.068 4.068 -5.748
Rb Ba In Cl
2 1 1 6
Cartesian
4.068 0.000 2.874
0.000 4.068 2.874
0.000 0.000 0.000
0.000 0.000 5.748
0.000 0.000 3.000
2.122 2.122 0.000
1.946 -1.946 5.748
-1.946 1.946 5.748
0.000 0.000 8.497
1.946 1.946 5.748
```

Computed properties:
Final energy (eV for the cell shown): -34.9
Uncorrected formation energy (eV/atom): -1.723


(2)
# Ba2InRhCl

Crystalline Ba2InRhCl at its relaxed geometry (PBE, Alexandria).

```
Ba2InRhCl
1.0
6.071 0.000 0.000
0.000 6.071 0.000
0.000 0.000 5.110
Ba In Rh Cl
2 1 1 1
Cartesian
0.000 3.035 0.000
3.035 0.000 0.000
0.000 0.000 2.555
0.000 0.000 0.000
3.035 3.035 2.555
```

Computed properties:
Final energy (eV for the cell shown): -19.8
Uncorrected formation energy (eV/atom): -0.804


(3)
# Ba3InS4Cl

Crystalline Ba3InS4Cl at its relaxed geometry (PBE, Alexandria).

```
Ba3InS4Cl
1.0
-4.245 4.245 7.285
4.245 -4.245 7.285
4.245 4.245 -7.285
Ba In S Cl
6 2 8 2
Cartesian
5.562 1.317 0.000
0.000 0.000 3.643
1.317 2.927 0.000
2.927 1.317 7.285
0.000 0.000 10.928
-1.317 2.927 7.285
4.245 0.000 3.643
0.000 4.245 3.643
2.906 1.339 -2.070
2.906 -1.339 5.216
2.906 1.339 2.070
2.906 -1.339 9.355
1.339 5.584 -2.070
1.339 2.906 5.216
1.339 5.584 2.070
1.339 2.906 9.355
0.000 0.000 0.000
0.000 0.000 7.285
```

Computed properties:
Final energy (eV for the cell shown): -85.4
Uncorrected formation energy (eV/atom): -1.762


(4)
# Ba2ScInCl

Crystalline Ba2ScInCl at its relaxed geometry (PBE, Alexandria).

```
Ba2ScInCl
1.0
6.823 0.000 0.000
0.000 6.823 0.000
0.000 0.000 5.512
Ba Sc In Cl
2 1 1 1
Cartesian
0.000 3.412 0.000
3.412 0.000 0.000
0.000 0.000 2.756
3.412 3.412 0.000
3.412 3.412 2.756
```

Computed properties:
Final energy (eV for the cell shown): -13.8
Uncorrected formation energy (eV/atom): 0.200


(5)
# BaInSeCl

Crystalline BaInSeCl at its relaxed geometry (PBE, Alexandria).

```
BaInSeCl
1.0
0.000 3.912 3.912
3.912 0.000 3.912
3.912 3.912 0.000
Ba In Se Cl
1 1 1 1
Cartesian
0.000 0.000 0.000
3.912 3.912 3.912
1.956 1.956 1.956
5.868 5.868 5.868
```

Computed properties:
Final energy (eV for the cell shown): -15.6
Uncorrected formation energy (eV/atom): -1.397


(6)
# BaIn2SeCl

Crystalline BaIn2SeCl at its relaxed geometry (PBE, Alexandria).

```
BaIn2SeCl
1.0
5.929 0.000 0.000
0.000 5.929 0.000
0.000 0.000 6.260
Ba In Se Cl
1 2 1 1
Cartesian
0.000 0.000 0.000
0.000 2.964 3.130
2.964 0.000 3.130
0.000 0.000 3.130
2.964 2.964 0.000
```

Computed properties:
Final energy (eV for the cell shown): -15.4
Uncorrected formation energy (eV/atom): -0.535


(7)
# BaTiIn2Cl8

Crystalline BaTiIn2Cl8 at its relaxed geometry (PBE, Alexandria).

```
BaTiIn2Cl8
1.0
6.650 0.000 0.000
0.227 7.142 0.000
0.024 0.032 8.610
Ba Ti In Cl
1 1 2 8
Cartesian
0.000 0.000 0.000
0.012 0.016 4.305
3.444 3.570 2.276
3.457 3.604 6.335
0.864 1.494 2.600
0.892 1.494 5.995
2.215 5.980 4.289
2.629 5.222 0.002
4.271 1.952 8.608
4.686 1.193 4.321
6.009 5.680 2.615
6.037 5.680 6.010
```

Computed properties:
Final energy (eV for the cell shown): -48.4
Uncorrected formation energy (eV/atom): -1.524


(8)
# BaUIn2Cl8

Crystalline BaUIn2Cl8 at its relaxed geometry (PBE, Alexandria).

```
BaUIn2Cl8
1.0
6.825 0.000 0.000
-0.362 7.350 0.000
-0.023 -0.021 9.105
Ba U In Cl
1 1 2 8
Cartesian
0.000 0.000 0.000
-0.011 -0.010 4.552
3.209 3.654 6.878
3.231 3.676 2.227
0.591 5.803 6.528
0.606 5.815 2.577
2.125 1.417 4.537
2.326 1.949 9.105
4.114 5.381 0.000
4.315 5.913 4.568
5.834 1.515 6.527
5.849 1.527 2.577
```

Computed properties:
Final energy (eV for the cell shown): -52.8
Uncorrected formation energy (eV/atom): -1.614


(9)
# BaUInCl6

Crystalline BaUInCl6 at its relaxed geometry (PBE, Alexandria).

```
BaUInCl6
1.0
7.787 0.000 0.000
-3.894 6.744 0.000
0.000 0.000 12.877
Ba U In Cl
2 2 2 12
Cartesian
0.000 4.496 3.219
3.894 2.248 9.658
0.000 4.496 9.658
3.894 2.248 3.219
0.000 0.000 0.000
0.000 0.000 6.439
-1.207 2.531 8.133
-2.305 4.433 11.183
1.206 2.531 11.183
-1.098 6.523 8.133
2.796 0.221 1.695
1.589 2.311 4.744
2.305 4.433 8.133
1.098 6.523 11.183
4.992 0.221 4.744
2.687 4.212 1.695
6.198 2.311 1.695
5.100 4.212 4.744
```

Computed properties:
Final energy (eV for the cell shown): -85.6
Uncorrected formation energy (eV/atom): -1.750


(10)
# BaVIn2Cl6

Crystalline BaVIn2Cl6 at its relaxed geometry (PBE, Alexandria).

```
BaVIn2Cl6
1.0
3.952 2.281 5.778
-3.952 2.281 5.778
0.000 -4.563 5.778
Ba V In Cl
1 1 2 6
Cartesian
0.000 0.000 0.000
0.000 0.000 8.667
0.000 0.000 4.897
0.000 0.000 12.438
-1.999 0.379 7.220
-1.328 -1.542 10.114
0.672 -1.921 7.220
-0.672 1.921 10.114
1.328 1.542 7.220
1.999 -0.379 10.114
```

Computed properties:
Final energy (eV for the cell shown): -41.4
Uncorrected formation energy (eV/atom): -1.385


(11)
# BaIrCl3

Crystalline BaIrCl3 at its relaxed geometry (PBE, Alexandria).

```
BaIrCl3
1.0
4.961 0.000 0.000
0.000 4.961 0.000
0.000 0.000 4.961
Ba Ir Cl
1 1 3
Cartesian
0.000 0.000 0.000
2.480 2.480 2.480
0.000 2.480 2.480
2.480 0.000 2.480
2.480 2.480 0.000
```

Computed properties:
Final energy (eV for the cell shown): -21.2
Excess energy over the best structure of this formula in the dataset (meV per atom): 0
Uncorrected formation energy (eV/atom): -0.976


(12)
# Ba4IrCl2

Crystalline Ba4IrCl2 at its relaxed geometry (PBE, Alexandria).

```
Ba4IrCl2
1.0
8.969 -2.276 0.000
8.969 2.276 0.000
-3.075 0.000 6.892
Ba Ir Cl
4 1 2
Cartesian
1.088 0.000 1.837
6.309 0.000 1.432
8.553 0.000 5.460
13.775 0.000 5.055
8.969 0.000 0.000
1.983 0.000 5.216
12.880 0.000 1.676
```

Computed properties:
Final energy (eV for the cell shown): -28.0
Excess energy over the best structure of this formula in the dataset (meV per atom): 0
Uncorrected formation energy (eV/atom): -1.109